# 1
This record from Alexandria via LeMat-Bulk describes a geometry-optimized CaSn3Te6Pb2 structure. The functional is PBE-GGA.

Properties
uncorrected formation energy: -0.538 eV/atom

a b c (Å): 10.224 10.224 9.143
angles (deg): 103.01 103.01 25.82
Atoms (fractional coordinates):
Ca  0.000  0.000  0.000
Sn  0.000  0.000  0.500
Sn  0.334  0.334  0.167
Sn  0.666  0.666  0.833
Te  0.165  0.165  0.587
Te  0.166  0.166  0.076
Te  0.497  0.497  0.247
Te  0.503  0.503  0.753
Te  0.834  0.834  0.924
Te  0.835  0.835  0.413
Pb  0.334  0.334  0.669
Pb  0.666  0.666  0.331

---

# 2
This record from Alexandria via LeMat-Bulk describes a geometry-optimized Ca2SnTe6Pb3 structure. The functional is PBE-GGA.

Properties
uncorrected formation energy: -0.786 eV/atom

a b c (Å): 10.264 10.264 9.195
angles (deg): 103.05 103.05 25.77
Atoms (fractional coordinates):
Ca  0.167  0.167  0.333
Ca  0.833  0.833  0.667
Sn  0.500  0.500  0.000
Te  0.002  0.002  0.245
Te  0.332  0.332  0.422
Te  0.335  0.335  0.912
Te  0.665  0.665  0.088
Te  0.668  0.668  0.578
Te  0.998  0.998  0.755
Pb  0.167  0.167  0.833
Pb  0.500  0.500  0.500
Pb  0.833  0.833  0.167

---

# 3
This record from Alexandria via LeMat-Bulk describes a geometry-optimized CaSnTe2Pb structure. The functional is PBE-GGA.

Properties
uncorrected formation energy: 0.128 eV/atom
DOS(E_F): 1.03 states/eV per atom

a b c (Å): 5.844 5.844 5.724
angles (deg): 90.00 90.00 90.00
Atoms (fractional coordinates):
Ca  0.000  0.000  0.000
Sn  0.000  0.000  0.500
Te  0.000  0.500  0.500
Te  0.500  0.000  0.500
Pb  0.500  0.500  0.000

---

# 4
This record from Alexandria via LeMat-Bulk describes a geometry-optimized Ca2SnTe4Pb structure. The functional is PBE-GGA.

Properties
uncorrected formation energy: -0.993 eV/atom

a b c (Å): 7.896 6.448 7.895
angles (deg): 65.91 48.20 65.89
Atoms (fractional coordinates):
Ca  0.000  0.000  0.500
Ca  0.500  0.500  0.000
Sn  0.254  0.254  0.746
Te  0.003  0.497  0.503
Te  0.250  0.749  0.750
Te  0.497  0.003  0.997
Te  0.749  0.250  0.251
Pb  0.752  0.752  0.248

---

# 5
This record from Alexandria via LeMat-Bulk describes a geometry-optimized Ca2Sn3Te6Pb structure. The functional is PBE-GGA.

Properties
uncorrected formation energy: -0.733 eV/atom

a b c (Å): 10.203 10.203 9.141
angles (deg): 103.16 103.16 25.75
Atoms (fractional coordinates):
Ca  0.167  0.167  0.334
Ca  0.833  0.833  0.666
Sn  0.167  0.167  0.832
Sn  0.500  0.500  0.500
Sn  0.833  0.833  0.168
Te  0.001  0.001  0.256
Te  0.331  0.331  0.914
Te  0.333  0.333  0.417
Te  0.667  0.667  0.583
Te  0.669  0.669  0.086
Te  0.999  0.999  0.744
Pb  0.500  0.500  0.000

---

# 6
This record from Alexandria via LeMat-Bulk describes a geometry-optimized CaTmSnPb structure. The functional is PBE-GGA.

Properties
E_form: -0.45 eV per atom
DOS(E_F): 0.75 states/eV per atom

a b c (Å): 5.426 5.426 5.426
angles (deg): 60.00 60.00 60.00
Atoms (fractional coordinates):
Ca  0.000  0.000  0.000
Tm  0.500  0.500  0.500
Sn  0.250  0.250  0.250
Pb  0.750  0.750  0.750

---

- Number 2 is which compound?
  Ca2SnTe6Pb3